The following is a PBE-GGA calculation of an optimized crystal structure of FeIr2C4, from OQMD.

abc: 7.1023 8.3215 5.4107
angles: 90.00 90.00 90.00
With the nearest neighbours (Å) after each atom.
Space group Ibam (No. 72)
Asymmetric unit:
Fe  0.0000  0.0000  0.2500  4 C 1.98
Ir  0.1813  0.4720  0.0000  3 C 1.96-2.07
C  0.0315  0.3216  0.5000  1 C 1.36
C  0.0738  0.1624  0.5000  1 C 1.36

Calculated values
**Volume**: 79.9 Å³/f.u.

=====

The following is a PBE-GGA calculation of an optimized crystal structure of Lu2FeIr4C4, from OQMD.

abc: 5.3737 9.4835 10.9764
angles: 90.00 90.00 90.00
With the nearest neighbours (Å) after each atom.
Space group Fmmm (No. 69)
Asymmetric unit:
Lu  0.0000  0.0000  0.1475  6 C 2.79-3.01, 4 Ir 2.95
Fe  0.0000  0.0000  0.5000  4 C 1.95
Ir  0.2500  0.2500  0.0000  4 C 2.21
Ir  0.2500  0.2500  0.2500  4 C 2.15
C  0.0000  0.1413  0.3709  1 Fe 1.95, 2 Ir 2.15

Calculated values
**Volume**: 139.8 Å³/f.u.

=====

The following is a PBE-GGA calculation of an optimized crystal structure of Tm2Fe4IrC4, from OQMD.

abc: 5.0166 9.4900 10.3099
angles: 90.00 90.00 90.00
With the nearest neighbours (Å) after each atom.
Space group Fmmm (No. 69)
Asymmetric unit:
Tm  0.0000  0.0000  0.1503  6 C 2.73-2.97, 4 Fe 2.87, 2 Ir 2.95
Fe  0.2500  0.2500  0.0000  4 C 2.03
Fe  0.2500  0.2500  0.2500  4 C 1.90
Ir  0.0000  0.0000  0.5000  4 C 2.10
C  0.0000  0.1668  0.3655  4 Fe 1.90-2.03, 1 Ir 2.10

Calculated values
**Volume**: 122.7 Å³/f.u.

=====

The following is a PBE-GGA calculation of an optimized crystal structure of KLaFeC6N6, from OQMD.

abc: 7.1232 7.1232 12.1575
angles: 90.00 90.00 120.00
With the nearest neighbours (Å) after each atom.
Space group P-31c (No. 163)
Asymmetric unit:
K  0.3333  0.6667  0.2500  6 N 2.85
La  0.3333  0.6667  0.7500  6 N 2.50
Fe  0.0000  0.0000  0.0000  6 C 1.86
C  0.0228  0.2271  0.5858  1 N 1.18
N  0.0378  0.3738  0.6385  1 C 1.18

Calculated values
**Volume**: 267.1 Å³/f.u.

=====

The following is a PBE-GGA calculation of an optimized crystal structure of K3FeC6N6, from OQMD.

abc: 6.9667 10.3389 8.2315
angles: 90.00 106.90 90.00
With the nearest neighbours (Å) after each atom.
Space group P2_1/c (No. 14)
Asymmetric unit:
K  0.0000  0.0000  0.0000  6 N 2.75-2.96, 2 C 3.08
K  0.4971  0.2287  0.8754  4 N 2.78-2.90
Fe  0.0000  0.0000  0.5000  6 C 1.89-1.90
C  0.1188  0.1664  0.5292  1 N 1.18
C  0.1844  0.5514  0.2085  1 N 1.18
C  0.1878  0.5547  0.8866  1 N 1.18
N  0.2006  0.2326  0.0496  1 C 1.18
N  0.2964  0.5835  0.3392  1 C 1.18
N  0.3014  0.5894  0.8139  1 C 1.18

Calculated values
**Volume**: 283.6 Å³/f.u.

=====

The following is a PBE-GGA calculation of an optimized crystal structure of K3FeC6N6, from OQMD.

abc: 10.2746 8.2785 13.2543
angles: 90.00 90.00 90.00
With the nearest neighbours (Å) after each atom.
Space group Pbcn (No. 60)
Asymmetric unit:
K  0.0000  0.1270  0.2500  6 N 2.72-2.94
K  0.2308  0.1252  0.5013  4 N 2.79-2.90
Fe  0.0000  0.3765  0.7500  6 C 1.89-1.90
C  0.0529  0.2141  0.8431  1 N 1.18
C  0.0543  0.4633  0.3435  1 N 1.18
C  0.1672  0.3781  0.6901  1 N 1.18
N  0.0845  0.1111  0.8993  1 C 1.18
N  0.0883  0.3633  0.4010  1 C 1.18
N  0.2309  0.1220  0.1493  1 C 1.18

Calculated values
**Volume**: 281.8 Å³/f.u.

=====

The following is a PBE-GGA calculation of an optimized crystal structure of La2Fe14C, from OQMD.

abc: 8.7722 8.7722 12.0300
angles: 90.00 90.00 90.00
With the nearest neighbours (Å) after each atom.
Space group P4_2/mnm (No. 136)
Asymmetric unit:
La  0.1421  0.1421  0.0000  1 C 2.90, 6 Fe 3.03-3.11
La  0.2384  0.2384  0.5000  16 Fe 3.03-3.25, 2 C 3.33
Fe  0.0000  0.0000  0.3936  2 C 2.00
Fe  0.0000  0.5000  0.0000  8 Fe 2.49-2.52
Fe  0.0365  0.6402  0.1779  10 Fe 2.39-2.64
Fe  0.0663  0.7248  0.3789  1 C 2.03
Fe  0.0982  0.9018  0.2115  8 Fe 2.39-2.63
Fe  0.1827  0.1827  0.2549  12 Fe 2.62-2.81
C  0.1240  0.8760  0.5000  6 Fe 2.00-2.03

Calculated values
**Volume**: 231.4 Å³/f.u.

=====

The following is a PBE-GGA calculation of an optimized crystal structure of La2FeC4, from OQMD.

abc: 7.6250 10.4534 5.2552
angles: 90.00 90.00 90.00
With the nearest neighbours (Å) after each atom.
Space group Ibam (No. 72)
Asymmetric unit:
La  0.1635  0.1447  0.0000  6 C 2.58-2.76
Fe  0.0000  0.5000  0.2500  4 C 1.95
C  0.1579  0.4241  0.0000  1 C 1.37
C  0.1732  0.1192  0.5000  1 C 1.37

Calculated values
**Volume**: 104.7 Å³/f.u.

=====

The following is a PBE-GGA calculation of an optimized crystal structure of LaNdFe2C4, from OQMD.

abc: 3.8387 3.8491 7.4293
angles: 81.83 81.52 89.87
With the nearest neighbours (Å) after each atom.
Space group P1 (No. 1)
Asymmetric unit:
La  0.0000  0.0000  0.0000  8 C 2.75-2.81, 4 Fe 3.03-3.06
Nd  0.8511  0.1451  0.5014  8 C 2.72-2.80, 2 Fe 3.03-3.04
Fe  0.3073  0.5881  0.6976  4 C 1.92-2.02
Fe  0.4401  0.4559  0.1990  4 C 1.95-2.02
C  0.3730  0.6752  0.4333  1 C 1.40
C  0.4150  0.9341  0.2785  1 C 1.40
C  0.5256  0.5203  0.9315  1 C 1.40
C  0.7837  0.5628  0.7747  1 C 1.40

Calculated values
**Volume**: 107.4 Å³/f.u.

=====

The following is a PBE-GGA calculation of an optimized crystal structure of LaPrFe2C4, from OQMD.

abc: 3.8505 3.8552 7.4353
angles: 81.67 81.48 89.89
With the nearest neighbours (Å) after each atom.
Space group P1 (No. 1)
Asymmetric unit:
La  0.0000  0.0000  0.0000  8 C 2.75-2.81, 4 Fe 3.03-3.07
Pr  0.8506  0.1474  0.5010  8 C 2.74-2.81, 4 Fe 3.04-3.06
Fe  0.3068  0.5894  0.6977  4 C 1.93-2.03
Fe  0.4401  0.4555  0.1978  4 C 1.94-2.03
C  0.3731  0.6759  0.4326  1 C 1.40
C  0.4151  0.9331  0.2776  1 C 1.40
C  0.5266  0.5210  0.9316  1 C 1.40
C  0.7839  0.5639  0.7753  1 C 1.40

Calculated values
**Volume**: 108.0 Å³/f.u.

=====

The following is a PBE-GGA calculation of an optimized crystal structure of Li2Fe2C, from OQMD.

abc: 4.4405 15.2291 4.3942
angles: 90.00 105.89 90.00
With the nearest neighbours (Å) after each atom.
Space group Cm (No. 8)
Asymmetric unit:
Li  0.0000  0.0934  0.0000  2 C 2.26-2.47
Li  0.0258  0.4029  0.4964  2 C 2.27-2.33
Fe  0.2620  0.2674  0.2526  4 Fe 2.27-2.28
Fe  0.2696  0.2300  0.7547  4 Fe 2.27-2.30
C  0.1710  0.5000  0.1506  1 C 1.28
C  0.3836  0.5000  0.4137  1 C 1.28

Calculated values
**Volume**: 71.5 Å³/f.u.

=====

The following is a PBE-GGA calculation of an optimized crystal structure of Lu3FeC2, from OQMD.

abc: 3.4547 3.4547 20.1062
angles: 90.00 90.00 120.00
With the nearest neighbours (Å) after each atom.
Space group P6_3/mmc (No. 194)
Asymmetric unit:
Lu  0.0000  0.0000  0.0000  6 C 2.49
Lu  0.3333  0.6667  0.1356  3 C 2.34
Fe  0.0000  0.0000  0.2500  6 Lu 3.04
C  0.3333  0.6667  0.5745  6 Lu 2.34-2.49

Calculated values
**Volume**: 103.9 Å³/f.u.

=====

DFT total energy for the records above, in order: -8.24, -7.97, -8.18, -8.25, -7.42, -7.42, -7.96, -8.04, -8.08, -8.06, -5.48, -6.75 eV/atom
Total magnetic moment for the records above, in order: 1.4, 0.2, 0.0, 0.0, 1.0, 1.0, 30.4, 0.0, 1.9, 1.9, 4.5, 2.8 μB per formula unit